No. 1
This record from Alexandria describes a relaxed structure of TmZrCo. The functional is PBE.

The structure belongs to space group P2_1/m (No. 11); the cell edges are 5.299, 4.293 and 5.814 Å and the angles 90.00°, 105.21° and 90.00°. The asymmetric unit holds Tm at (0.074, 0.250, 0.277), Zr at (0.462, 0.250, 0.813) and Co at (0.375, 0.750, 0.571).

For the total energy, the calculation gives -6.92 eV per atom. The crystal system is monoclinic. The value obtained for the energy relative to the lowest polymorph listed for this composition is 0.0000 eV/atom. The formation energy from the elements comes out at -0.21 eV/atom.


No. 2
This record from Alexandria describes a relaxed structure of LuPuCo2. The functional is PBE.

The structure belongs to space group Fm-3m (No. 225); the cell edges are 6.571, 6.571 and 6.571 Å and the angles 90.00°, 90.00° and 90.00°. The asymmetric unit holds Lu at (0.000, 0.000, 0.000), Pu at (0.000, 0.000, 0.500) and Co at (0.250, 0.250, 0.250).

For the total energy, the calculation gives -8.35 eV per atom. The crystal system is cubic. The value obtained for the energy relative to the lowest polymorph listed for this composition is 0.0292 eV/atom. The formation energy from the elements comes out at -0.08 eV/atom.


No. 3
This record from Alexandria describes a relaxed structure of BeTeRu2. The functional is PBE.

The structure belongs to space group Pmm2 (No. 25); the cell edges are 3.070, 4.342 and 4.572 Å and the angles 90.00°, 90.00° and 90.00°. The asymmetric unit holds Be at (0.000, 0.000, 0.000), Te at (0.500, 0.500, 0.284), Ru at (0.000, 0.500, 0.819) and Ru at (0.500, 0.000, 0.604).

For the total energy, the calculation gives -6.15 eV per atom. The crystal system is orthorhombic. The uncorrected formation energy is 0.21 eV per atom. The value obtained for the energy relative to the lowest polymorph listed for this composition is 0.1776 eV/atom.


Q: What is the energy relative to the lowest polymorph listed for this composition in the third record?
A: 0.1776 eV/atom


Q: Look up the energy relative to the lowest polymorph listed for this composition of the third one.
A: 0.1776 eV/atom


Q: Look up the energy relative to the lowest polymorph listed for this composition of the first one.
A: 0.0000 eV/atom


Q: The lowest energy relative to the lowest polymorph listed for this composition belongs to which entry?
A: TmZrCo